Here is CoTcBr2 after structural relaxation from the Alexandria database. Energies are from PBE.

Geometry as CIF:
```
data_CoTcBr2
_chemical_formula_sum 'Co3 Tc3 Br6'
_symmetry_space_group_name_H-M 'R 3 m'
_symmetry_Int_Tables_number 160
_symmetry_space_group_name_Hall 'R 3 -2"'
_cell_length_a 3.6222
_cell_length_b 3.6222
_cell_length_c 24.0452
_cell_angle_alpha 90.00
_cell_angle_beta 90.00
_cell_angle_gamma 120.00
loop_
_atom_site_label
_atom_site_type_symbol
_atom_site_fract_x
_atom_site_fract_y
_atom_site_fract_z
Co1 Co 0.0000 0.0000 0.0000
Tc1 Tc 0.0000 0.0000 0.7114
Br1 Br 0.0000 0.0000 0.2746
Br2 Br 0.0000 0.0000 0.4494
```

Results
E above lowest polymorph   30.1 meV/atom
E_form (uncorrected)   18.0 kJ per mole of atoms



Here is CoHgSb2 after structural relaxation from the Alexandria database. Energies are from PBE.

Geometry as CIF:
```
data_CoHgSb2
_chemical_formula_sum 'Co4 Hg4 Sb8'
_symmetry_space_group_name_H-M 'F -4 3 m'
_symmetry_Int_Tables_number 216
_symmetry_space_group_name_Hall 'F -4 2 3'
_cell_length_a 7.1016
_cell_length_b 7.1016
_cell_length_c 7.1016
_cell_angle_alpha 90.00
_cell_angle_beta 90.00
_cell_angle_gamma 90.00
loop_
_atom_site_label
_atom_site_type_symbol
_atom_site_fract_x
_atom_site_fract_y
_atom_site_fract_z
Co1 Co 0.0000 0.0000 0.0000
Hg1 Hg 0.2500 0.2500 0.2500
Sb1 Sb 0.0000 0.0000 0.5000
Sb2 Sb 0.2500 0.2500 0.7500
```

Results
E_form (uncorrected)   58.7 kJ per mole of atoms



Here is TiPd2O6 after structural relaxation from the Alexandria database. Energies are from PBE.

Geometry as CIF:
```
data_TiPd2O6
_chemical_formula_sum 'Ti2 Pd4 O12'
_symmetry_space_group_name_H-M 'C 1 2/m 1'
_symmetry_Int_Tables_number 12
_cell_length_a 13.3473
_cell_length_b 3.0607
_cell_length_c 6.1520
_cell_angle_alpha 90.00
_cell_angle_beta 103.30
_cell_angle_gamma 90.00
loop_
_symmetry_equiv_pos_as_xyz
'x,y,z'
'-x,-y,-z'
'-x,y,-z'
'x,-y,z'
'x+1/2,y+1/2,z'
'-x+1/2,-y+1/2,-z'
'-x+1/2,y+1/2,-z'
'x+1/2,-y+1/2,z'
loop_
_atom_site_label
_atom_site_type_symbol
_atom_site_fract_x
_atom_site_fract_y
_atom_site_fract_z
Ti1 Ti 0.0000 0.0000 0.0000
Pd1 Pd 0.1651 0.5000 0.3324
O1 O 0.0084 0.5000 0.2124
O2 O 0.1528 0.0000 0.1094
O3 O 0.1784 0.0000 0.5559
```

Results
E_form (uncorrected)   -109.5 kJ per mole of atoms



Here is Nd6CoI12 after structural relaxation from the Alexandria database. Energies are from PBE.

Geometry as CIF:
```
data_Nd6CoI12
_chemical_formula_sum 'Nd18 Co3 I36'
_symmetry_space_group_name_H-M 'R -3 m'
_symmetry_Int_Tables_number 166
_symmetry_space_group_name_Hall '-R 3 2"'
_cell_length_a 11.2677
_cell_length_b 11.2677
_cell_length_c 19.6107
_cell_angle_alpha 90.00
_cell_angle_beta 90.00
_cell_angle_gamma 120.00
loop_
_atom_site_label
_atom_site_type_symbol
_atom_site_fract_x
_atom_site_fract_y
_atom_site_fract_z
Nd1 Nd 0.0671 0.5336 0.2518
Co1 Co 0.0000 0.0000 0.5000
I1 I 0.0259 0.5129 0.9027
I2 I 0.0806 0.5403 0.5933
```

Results
E_form (uncorrected)   -94.5 kJ per mole of atoms



Here is VTcB4 after structural relaxation from the Alexandria database. Energies are from PBE.

Geometry as CIF:
```
data_VTcB4
_chemical_formula_sum 'V4 Tc4 B16'
_symmetry_space_group_name_H-M 'F -4 3 m'
_symmetry_Int_Tables_number 216
_symmetry_space_group_name_Hall 'F -4 2 3'
_cell_length_a 5.8005
_cell_length_b 5.8005
_cell_length_c 5.8005
_cell_angle_alpha 90.00
_cell_angle_beta 90.00
_cell_angle_gamma 90.00
loop_
_atom_site_label
_atom_site_type_symbol
_atom_site_fract_x
_atom_site_fract_y
_atom_site_fract_z
V1 V 0.0000 0.0000 0.0000
Tc1 Tc 0.2500 0.2500 0.2500
B1 B 0.1354 0.1354 0.6354
```

Results
E above lowest polymorph   524.4 meV/atom
Formation enthalpy at 0 K   0.143 eV/atom



Here is Pr4PuS5 after structural relaxation from the Alexandria database. Energies are from PBE.

Geometry as CIF:
```
data_Pr4PuS5
_chemical_formula_sum 'Pr8 Pu2 S10'
_symmetry_space_group_name_H-M 'I 4/m'
_symmetry_Int_Tables_number 87
_symmetry_space_group_name_Hall '-I 4'
_cell_length_a 9.1192
_cell_length_b 9.1192
_cell_length_c 5.7691
_cell_angle_alpha 90.00
_cell_angle_beta 90.00
_cell_angle_gamma 90.00
loop_
_atom_site_label
_atom_site_type_symbol
_atom_site_fract_x
_atom_site_fract_y
_atom_site_fract_z
Pr1 Pr 0.0960 0.6999 0.0000
Pu1 Pu 0.0000 0.0000 0.5000
S1 S 0.0000 0.0000 0.0000
S2 S 0.0984 0.7073 0.5000
```

Results
E_form (uncorrected)   -190.9 kJ per mole of atoms



Here is Cs2Ho3AgF12 after structural relaxation from the Alexandria database. Energies are from PBE.

Geometry as CIF:
```
data_Cs2Ho3AgF12
_chemical_formula_sum 'Cs6 Ho9 Ag3 F36'
_symmetry_space_group_name_H-M 'R -3 m'
_symmetry_Int_Tables_number 166
_symmetry_space_group_name_Hall '-R 3 2"'
_cell_length_a 8.3930
_cell_length_b 8.3930
_cell_length_c 19.2690
_cell_angle_alpha 90.00
_cell_angle_beta 90.00
_cell_angle_gamma 120.00
loop_
_atom_site_label
_atom_site_type_symbol
_atom_site_fract_x
_atom_site_fract_y
_atom_site_fract_z
Cs1 Cs 0.0000 0.0000 0.1352
Ho1 Ho 0.0000 0.5000 0.0000
Ag1 Ag 0.0000 0.0000 0.5000
F1 F 0.0117 0.5058 0.1108
F2 F 0.0830 0.5415 0.3389
```

Results
E_form (uncorrected)   -334.8 kJ per mole of atoms



Here is LiDyZrCo after structural relaxation from the Alexandria database. Energies are from PBE.

Geometry as CIF:
```
data_LiDyZrCo
_chemical_formula_sum 'Li4 Dy4 Zr4 Co4'
_symmetry_space_group_name_H-M 'F -4 3 m'
_symmetry_Int_Tables_number 216
_symmetry_space_group_name_Hall 'F -4 2 3'
_cell_length_a 6.6626
_cell_length_b 6.6626
_cell_length_c 6.6626
_cell_angle_alpha 90.00
_cell_angle_beta 90.00
_cell_angle_gamma 90.00
loop_
_atom_site_label
_atom_site_type_symbol
_atom_site_fract_x
_atom_site_fract_y
_atom_site_fract_z
Li1 Li 0.0000 0.0000 0.0000
Dy1 Dy 0.2500 0.2500 0.7500
Zr1 Zr 0.2500 0.2500 0.2500
Co1 Co 0.0000 0.0000 0.5000
```

Results
Formation enthalpy at 0 K   -0.007 eV/atom



Number 1: final energy -5.02 eV per atom. Number 2: final energy -3.30 eV per atom. Number 3: final energy -6.47 eV per atom. Number 4: final energy -3.84 eV per atom. Number 5: final energy -7.56 eV per atom. Number 6: final energy -7.39 eV per atom. Number 7: final energy -5.73 eV per atom. Number 8: final energy -5.55 eV per atom.